(1)
# CePr3Dy6Ho2 PBE relaxed
data_CePr3Dy6Ho2
_chemical_formula_sum 'Ce2 Pr6 Dy12 Ho4'
_space_group_name_H-M_alt 'C 1 2/m 1'
_space_group_IT_number 12
_cell_length_a 6.214
_cell_length_b 10.761
_cell_length_c 11.840
_cell_angle_alpha 90.00
_cell_angle_beta 100.06
_cell_angle_gamma 90.00
loop_
_space_group_symop_operation_xyz
'x,y,z'
'-x,-y,-z'
'-x,y,-z'
'x,-y,z'
'x+1/2,y+1/2,z'
'-x+1/2,-y+1/2,-z'
'-x+1/2,y+1/2,-z'
'x+1/2,-y+1/2,z'
loop_
_atom_site_label
_atom_site_type_symbol
_atom_site_fract_x
_atom_site_fract_y
_atom_site_fract_z
Ce1 Ce 0.000 0.000 0.000
Pr1 Pr 0.000 0.168 0.500
Pr2 Pr 0.000 0.500 0.500
Dy1 Dy 0.247 0.166 0.245
Dy2 Dy 0.249 0.000 0.755
Ho1 Ho 0.000 0.333 0.000
# Uncorrected energy, eV per cell: -113.2
# ΔH_f (0 K), eV/atom: 0.036


(2)
# NiP2 PBE relaxed
data_NiP2
_chemical_formula_sum 'Ni4 P8'
_space_group_name_H-M_alt 'C m c m'
_space_group_IT_number 63
_space_group_name_Hall '-C 2c 2'
_cell_length_a 3.514
_cell_length_b 13.092
_cell_length_c 3.979
_cell_angle_alpha 90.00
_cell_angle_beta 90.00
_cell_angle_gamma 90.00
loop_
_atom_site_label
_atom_site_type_symbol
_atom_site_fract_x
_atom_site_fract_y
_atom_site_fract_z
Ni1 Ni 0.000 0.152 0.250
P1 P 0.000 0.233 0.750
P2 P 0.000 0.454 0.750
# Uncorrected energy, eV per cell: -68.4
# ΔH_f (0 K), eV/atom: -0.163


Which value of uncorrected energy does entry 1 give?
-113.2 eV per cell


Copy entry 1 word for word.
# CePr3Dy6Ho2 PBE relaxed
data_CePr3Dy6Ho2
_chemical_formula_sum 'Ce2 Pr6 Dy12 Ho4'
_space_group_name_H-M_alt 'C 1 2/m 1'
_space_group_IT_number 12
_cell_length_a 6.214
_cell_length_b 10.761
_cell_length_c 11.840
_cell_angle_alpha 90.00
_cell_angle_beta 100.06
_cell_angle_gamma 90.00
loop_
_space_group_symop_operation_xyz
'x,y,z'
'-x,-y,-z'
'-x,y,-z'
'x,-y,z'
'x+1/2,y+1/2,z'
'-x+1/2,-y+1/2,-z'
'-x+1/2,y+1/2,-z'
'x+1/2,-y+1/2,z'
loop_
_atom_site_label
_atom_site_type_symbol
_atom_site_fract_x
_atom_site_fract_y
_atom_site_fract_z
Ce1 Ce 0.000 0.000 0.000
Pr1 Pr 0.000 0.168 0.500
Pr2 Pr 0.000 0.500 0.500
Dy1 Dy 0.247 0.166 0.245
Dy2 Dy 0.249 0.000 0.755
Ho1 Ho 0.000 0.333 0.000
# Uncorrected energy, eV per cell: -113.2
# ΔH_f (0 K), eV/atom: 0.036


What is the ΔH_f (0 K) in the first record?
0.036 eV/atom


Look up the ΔH_f (0 K) of the second one.
-0.163 eV/atom